(1)
A plane-wave DFT calculation with PBE-GGA was carried out for a geometry-optimized TbMg4Cu structure.

abc: 13.511 20.583 3.850
angles: 90.00 90.00 90.00
Space group Cmmm (No. 65)
Asymmetric unit:
Tb1 0.000 0.130 0.000 (multiplicity 4)
Tb2 0.198 0.000 0.000 (multiplicity 4)
Mg1 0.000 0.000 0.500 (multiplicity 2)
Mg2 0.000 0.335 0.000 (multiplicity 4)
Mg3 0.000 0.500 0.000 (multiplicity 2)
Mg4 0.118 0.242 0.500 (multiplicity 8)
Mg5 0.131 0.420 0.500 (multiplicity 8)
Mg6 0.243 0.330 0.000 (multiplicity 8)
Cu1 0.160 0.105 0.500 (multiplicity 8)

The calculation puts the distance to the lowest polymorph of the same formula at 0 meV/atom. Its calculated formation energy is -128 meV per atom.

---

(2)
A plane-wave DFT calculation with PBE-GGA was carried out for a geometry-optimized Li2BeCl4 structure.

abc: 12.629 7.389 5.836
angles: 90.00 90.00 90.00
Space group Pnma (No. 62)
Asymmetric unit:
Li1 0.000 0.000 0.000 (multiplicity 4)
Li2 0.233 0.250 0.491 (multiplicity 4)
Be1 0.089 0.750 0.397 (multiplicity 4)
Cl1 0.062 0.250 0.738 (multiplicity 4)
Cl2 0.091 0.750 0.741 (multiplicity 4)
Cl3 0.163 0.529 0.257 (multiplicity 8)

The calculation puts the distance to the lowest polymorph of the same formula at 10 meV/atom. Its formation energy (no corrections) is -1650 meV/atom.

---

(3)
A plane-wave DFT calculation with PBE-GGA was carried out for a geometry-optimized ScTcNi2B structure.

abc: 3.911 3.911 4.173
angles: 90.00 90.00 90.00
Space group P4/mmm (No. 123)
Asymmetric unit:
Sc1 0.000 0.000 0.000 (multiplicity 1)
Tc1 0.500 0.500 0.000 (multiplicity 1)
Ni1 0.000 0.500 0.500 (multiplicity 2)
B1 0.500 0.500 0.500 (multiplicity 1)

Its calculated formation energy is -372 meV per atom.

---

(4)
A plane-wave DFT calculation with PBE-GGA was carried out for a geometry-optimized Hf9HgPb2 structure.

abc: 4.440 4.440 13.377
angles: 90.00 90.00 90.00
Space group P4/mmm (No. 123)
Asymmetric unit:
Hf1 0.000 0.000 0.000 (multiplicity 1)
Hf2 0.000 0.000 0.329 (multiplicity 2)
Hf3 0.000 0.500 0.163 (multiplicity 4)
Hf4 0.000 0.500 0.500 (multiplicity 2)
Hg1 0.500 0.500 0.000 (multiplicity 1)
Pb1 0.500 0.500 0.333 (multiplicity 2)

Its calculated formation energy is -22 meV per atom.

---

(5)
A plane-wave DFT calculation with PBE-GGA was carried out for a geometry-optimized ZrZnCuIr structure.

abc: 6.335 6.335 6.335
angles: 90.00 90.00 90.00
Space group F-43m (No. 216)
Asymmetric unit:
Zr1 0.000 0.000 0.000 (multiplicity 4)
Zn1 0.000 0.000 0.500 (multiplicity 4)
Cu1 0.250 0.250 0.750 (multiplicity 4)
Ir1 0.250 0.250 0.250 (multiplicity 4)

The calculation puts the distance to the lowest polymorph of the same formula at 6 meV/atom. Its calculated formation energy is -384 meV per atom.

---

(6)
A plane-wave DFT calculation with PBE-GGA was carried out for a geometry-optimized U5Ni3N12 structure.

abc: 12.648 12.648 12.648
angles: 90.00 90.00 90.00
Space group Ia-3d (No. 230)
Asymmetric unit:
U1 0.000 0.000 0.000 (multiplicity 16)
U2 0.000 0.250 0.375 (multiplicity 24)
Ni1 0.000 0.250 0.125 (multiplicity 24)
N1 0.017 0.053 0.339 (multiplicity 96)

Its formation energy (no corrections) is -738 meV/atom.

---

(7)
A plane-wave DFT calculation with PBE-GGA was carried out for a geometry-optimized GdLu2Os structure.

abc: 3.359 3.359 9.016
angles: 90.00 90.00 90.00
Space group P4/mmm (No. 123)
Asymmetric unit:
Gd1 0.000 0.000 0.000 (multiplicity 1)
Lu1 0.500 0.500 0.322 (multiplicity 2)
Os1 0.000 0.000 0.500 (multiplicity 1)

The calculation puts the distance to the lowest polymorph of the same formula at 0 meV/atom. Its calculated formation energy is -210 meV per atom.

---

(8)
A plane-wave DFT calculation with PBE-GGA was carried out for a geometry-optimized DyCu4 structure.

abc: 5.002 5.002 5.002
angles: 90.00 90.00 90.00
Space group Pm-3m (No. 221)
Asymmetric unit:
Dy1 0.000 0.000 0.000 (multiplicity 1)
Cu1 0.000 0.000 0.500 (multiplicity 3)
Cu2 0.500 0.500 0.500 (multiplicity 1)

Its calculated formation energy is 1417 meV per atom.

---

(9)
A plane-wave DFT calculation with PBE-GGA was carried out for a geometry-optimized KVHg2Br8 structure.

abc: 6.814 7.567 9.260
angles: 113.04 90.81 97.09
Space group P-1 (No. 2)
Asymmetric unit:
K1 0.000 0.000 0.000 (multiplicity 1)
V1 0.000 0.000 0.500 (multiplicity 1)
Hg1 0.471 0.258 0.786 (multiplicity 2)
Br1 0.124 0.772 0.239 (multiplicity 2)
Br2 0.193 0.859 0.649 (multiplicity 2)
Br3 0.297 0.265 0.536 (multiplicity 2)
Br4 0.441 0.286 0.073 (multiplicity 2)

Its formation energy (no corrections) is -780 meV/atom.

---

(10)
A plane-wave DFT calculation with PBE-GGA was carried out for a geometry-optimized NpTl2I2O2 structure.

abc: 4.453 4.453 20.293
angles: 90.00 90.00 90.00
Space group I4/mmm (No. 139)
Asymmetric unit:
Np1 0.000 0.000 0.000 (multiplicity 2)
Tl1 0.000 0.000 0.394 (multiplicity 4)
I1 0.000 0.000 0.163 (multiplicity 4)
O1 0.000 0.500 0.000 (multiplicity 4)

Its formation energy (no corrections) is -1409 meV/atom.

---

(11)
A plane-wave DFT calculation with PBE-GGA was carried out for a geometry-optimized TmLuCdTc structure.

abc: 7.016 7.016 7.016
angles: 90.00 90.00 90.00
Space group F-43m (No. 216)
Asymmetric unit:
Tm1 0.000 0.000 0.000 (multiplicity 4)
Lu1 0.000 0.000 0.500 (multiplicity 4)
Cd1 0.250 0.250 0.750 (multiplicity 4)
Tc1 0.250 0.250 0.250 (multiplicity 4)

Its calculated formation energy is -140 meV per atom.

---

(12)
A plane-wave DFT calculation with PBE-GGA was carried out for a geometry-optimized K3Ca2TeO6 structure.

abc: 5.991 10.369 6.535
angles: 90.00 107.91 90.00
Space group C2/m (No. 12)
Asymmetric unit:
K1 0.000 0.000 0.000 (multiplicity 2)
K2 0.000 0.332 0.000 (multiplicity 4)
Ca1 0.000 0.167 0.500 (multiplicity 4)
Te1 0.000 0.500 0.500 (multiplicity 2)
O1 0.212 0.351 0.687 (multiplicity 8)
O2 0.235 0.500 0.313 (multiplicity 4)

Its formation energy (no corrections) is -1894 meV/atom.

---

Which formula does entry 11 have? TmLuCdTc

---

What is the formula in the seventh record? GdLu2Os